[1]
First-principles (PBE-GGA) data for Pm2Nd4Pb3O2 after structural relaxation, as listed in the Alexandria database.

Summary:
Its density of states at the Fermi level is 0.411 states/eV/atom. The total magnetic moment comes out at 0.00 μB per atom. For the total energy, the calculation gives -5.873 eV/atom. The value obtained for the energy relative to the elements, uncorrected is -1.36 eV per atom.

Lattice parameters (Å, degrees): 4.843 4.843 26.207 90.00 90.00 90.00
Space group I4/mmm (No. 139)
Unique sites:
Pm: 0.000 0.000 0.194 (multiplicity 4)
Nd: 0.000 0.500 0.083 (multiplicity 8)
Pb: 0.000 0.000 0.320 (multiplicity 4)
Pb: 0.000 0.000 0.500 (multiplicity 2)
O: 0.000 0.000 0.102 (multiplicity 4)

[2]
First-principles (PBE-GGA) data for Bi2AsO5 after structural relaxation, as listed in the Alexandria database.

Summary:
The calculation puts the polymorph energy (0 for the lowest one) at 76.8 meV/atom. Its density of states at the Fermi level is 0.170 states/eV/atom. The total magnetic moment comes out at 0.00 μB per atom. For the total energy, the calculation gives -5.707 eV/atom. The value obtained for the energy relative to the elements, uncorrected is -1.06 eV per atom.

Lattice parameters (Å, degrees): 5.969 5.969 7.752 90.00 90.00 90.00
Space group I4mm (No. 107)
Unique sites:
Bi: 0.000 0.500 0.000 (multiplicity 4)
As: 0.000 0.000 0.312 (multiplicity 2)
O: 0.000 0.000 0.093 (multiplicity 2)
O: 0.211 0.211 0.380 (multiplicity 8)

[3]
First-principles (PBE-GGA) data for KLaRe after structural relaxation, as listed in the Alexandria database.

Summary:
The calculation puts the polymorph energy (0 for the lowest one) at 0.0 meV/atom. Its density of states at the Fermi level is 0.674 states/eV/atom. The total magnetic moment comes out at 0.00 μB per atom. For the total energy, the calculation gives -5.206 eV/atom. Its energy of formation from the pure elements is 0.9514 eV/atom.

Lattice parameters (Å, degrees): 2.965 4.022 15.980 90.00 90.00 90.00
Space group Imm2 (No. 44)
Unique sites:
K: 0.000 0.000 0.000 (multiplicity 2)
La: 0.000 0.000 0.255 (multiplicity 2)
Re: 0.000 0.000 0.653 (multiplicity 2)

[4]
First-principles (PBE-GGA) data for Cr2RhPb after structural relaxation, as listed in the Alexandria database.

Summary:
Its density of states at the Fermi level is 0.864 states/eV/atom. The total magnetic moment comes out at 1.79 μB per atom. For the total energy, the calculation gives -7.171 eV/atom. Its energy of formation from the pure elements is 0.4053 eV/atom.

Lattice parameters (Å, degrees): 4.156 4.156 3.929 90.00 90.00 90.00
Space group P4/mmm (No. 123)
Unique sites:
Cr: 0.000 0.500 0.000 (multiplicity 2)
Rh: 0.000 0.000 0.500 (multiplicity 1)
Pb: 0.500 0.500 0.500 (multiplicity 1)

[5]
First-principles (PBE-GGA) data for Sc2Mo after structural relaxation, as listed in the Alexandria database.

Summary:
The calculation puts the polymorph energy (0 for the lowest one) at 86.9 meV/atom. Its density of states at the Fermi level is 0.657 states/eV/atom. The total magnetic moment comes out at 0.00 μB per atom. For the total energy, the calculation gives -7.730 eV/atom. Its energy of formation from the pure elements is 0.1009 eV/atom.

Lattice parameters (Å, degrees): 8.3232 8.3232 2.9745 90.00 90.00 120.00
Space group P-62m (No. 189)
Unique sites:
Sc: 0.0000 0.3222 0.0000 (multiplicity 3)
Sc: 0.0000 0.6542 0.5000 (multiplicity 3)
Mo: 0.0000 0.0000 0.5000 (multiplicity 1)
Mo: 0.3333 0.6667 0.0000 (multiplicity 2)

[6]
First-principles (PBE-GGA) data for Ca3Be5 after structural relaxation, as listed in the Alexandria database.

Summary:
Its density of states at the Fermi level is 0.460 states/eV/atom. The total magnetic moment comes out at 0.00 μB per atom. For the total energy, the calculation gives -2.758 eV/atom. Its energy of formation from the pure elements is 0.3215 eV/atom.

Lattice parameters (Å, degrees): 9.6425 9.6425 3.9456 90.00 90.00 120.00
Space group P6_3/mcm (No. 193)
Unique sites:
Ca: 0.0000 0.3538 0.2500 (multiplicity 6)
Be: 0.0000 0.1269 0.7500 (multiplicity 6)
Be: 0.3333 0.6667 0.0000 (multiplicity 4)

[7]
First-principles (PBE-GGA) data for OsPt2Cl after structural relaxation, as listed in the Alexandria database.

Summary:
The calculation puts the polymorph energy (0 for the lowest one) at 190.4 meV/atom. Its density of states at the Fermi level is 0.999 states/eV/atom. The total magnetic moment comes out at 0.00 μB per atom. For the total energy, the calculation gives -5.800 eV/atom. The value obtained for the energy relative to the elements, uncorrected is 0.49 eV per atom.

Lattice parameters (Å, degrees): 2.785 4.945 9.279 90.00 90.00 90.00
Space group Cmmm (No. 65)
Unique sites:
Os: 0.000 0.000 0.000 (multiplicity 2)
Pt: 0.000 0.500 0.245 (multiplicity 4)
Cl: 0.000 0.000 0.500 (multiplicity 2)

[8]
First-principles (PBE-GGA) data for La2SmTmO6 after structural relaxation, as listed in the Alexandria database.

Summary:
Its density of states at the Fermi level is 0.000 states/eV/atom. The total magnetic moment comes out at 0.00 μB per atom. For the total energy, the calculation gives -8.339 eV/atom. The value obtained for the energy relative to the elements, uncorrected is -3.46 eV per atom.

Lattice parameters (Å, degrees): 6.0466 6.0466 15.3393 90.00 90.00 120.00
Space group R3 (No. 146, hexagonal axes)
Unique sites:
La: 0.0000 0.0000 0.0000 (multiplicity 3)
La: 0.0000 0.0000 0.4984 (multiplicity 3)
Sm: 0.0000 0.0000 0.2248 (multiplicity 3)
Tm: 0.0000 0.0000 0.7210 (multiplicity 3)
O: 0.0567 0.3558 0.7851 (multiplicity 9)
O: 0.0624 0.6898 0.2877 (multiplicity 9)